No. 1
First-principles (PBE) data for a geometry-optimized Ca8SnPb2 structure, as listed in the Alexandria database.

Lattice parameters (Å, degrees): 10.026 10.026 7.552 106.14 106.14 31.09
Element x y z (fractional)
Ca1 0.027 0.027 0.281
Ca2 0.202 0.202 0.794
Ca3 0.340 0.340 0.548
Ca4 0.405 0.405 0.056
Ca5 0.595 0.595 0.944
Ca6 0.660 0.660 0.452
Ca7 0.798 0.798 0.206
Ca8 0.973 0.973 0.719
Sn1 0.500 0.500 0.500
Pb1 0.189 0.189 0.209
Pb2 0.811 0.811 0.791

ΔH_f (0 K), meV per atom: -408
ΔE to the lowest computed polymorph, meV per atom: 0
D(E_F), states/eV/f.u.: 8.55


No. 2
First-principles (PBE) data for a geometry-optimized Ca2SnPb9 structure, as listed in the Alexandria database.

Lattice parameters (Å, degrees): 4.909 4.909 15.163 90.00 90.00 90.00
Element x y z (fractional)
Ca1 0.000 0.000 0.156
Ca2 0.000 0.000 0.844
Sn1 0.000 0.000 0.500
Pb1 0.000 0.500 0.000
Pb2 0.000 0.500 0.331
Pb3 0.000 0.500 0.669
Pb4 0.500 0.000 0.000
Pb5 0.500 0.000 0.331
Pb6 0.500 0.000 0.669
Pb7 0.500 0.500 0.168
Pb8 0.500 0.500 0.500
Pb9 0.500 0.500 0.832

ΔH_f (0 K), meV per atom: -189
D(E_F), states/eV/f.u.: 5.01


No. 3
First-principles (PBE) data for a geometry-optimized CaSn2Pb2 structure, as listed in the Alexandria database.

Lattice parameters (Å, degrees): 13.453 13.453 4.746 90.00 90.00 160.05
Element x y z (fractional)
Ca1 0.157 0.843 0.750
Ca2 0.843 0.157 0.250
Sn1 0.249 0.751 0.250
Sn2 0.352 0.648 0.750
Sn3 0.648 0.352 0.250
Sn4 0.751 0.249 0.750
Pb1 0.055 0.945 0.250
Pb2 0.445 0.555 0.250
Pb3 0.555 0.445 0.750
Pb4 0.945 0.055 0.750

ΔH_f (0 K), meV per atom: -240
ΔE to the lowest computed polymorph, meV per atom: 0
D(E_F), states/eV/f.u.: 2.94


No. 4
First-principles (PBE) data for a geometry-optimized CaSn3Pb3 structure, as listed in the Alexandria database.

Lattice parameters (Å, degrees): 8.352 8.352 8.352 90.00 90.00 90.00
Element x y z (fractional)
Ca1 0.000 0.000 0.000
Ca2 0.500 0.500 0.500
Sn1 0.000 0.250 0.500
Sn2 0.000 0.750 0.500
Sn3 0.250 0.500 0.000
Sn4 0.500 0.000 0.250
Sn5 0.500 0.000 0.750
Sn6 0.750 0.500 0.000
Pb1 0.000 0.500 0.250
Pb2 0.000 0.500 0.750
Pb3 0.250 0.000 0.500
Pb4 0.500 0.250 0.000
Pb5 0.500 0.750 0.000
Pb6 0.750 0.000 0.500

ΔH_f (0 K), meV per atom: 282
D(E_F), states/eV/f.u.: 3.69


No. 5
First-principles (PBE) data for a geometry-optimized Ca3Sn12Pb structure, as listed in the Alexandria database.

Lattice parameters (Å, degrees): 4.757 4.757 19.445 90.00 90.00 90.00
Element x y z (fractional)
Ca1 0.000 0.000 0.000
Ca2 0.000 0.000 0.243
Ca3 0.000 0.000 0.757
Sn1 0.000 0.500 0.123
Sn2 0.000 0.500 0.371
Sn3 0.000 0.500 0.629
Sn4 0.000 0.500 0.877
Sn5 0.500 0.000 0.123
Sn6 0.500 0.000 0.371
Sn7 0.500 0.000 0.629
Sn8 0.500 0.000 0.877
Sn9 0.500 0.500 0.000
Sn10 0.500 0.500 0.249
Sn11 0.500 0.500 0.500
Sn12 0.500 0.500 0.751
Pb1 0.000 0.000 0.500

ΔH_f (0 K), meV per atom: -258
D(E_F), states/eV/f.u.: 9.22


No. 6
First-principles (PBE) data for a geometry-optimized Ca2SnPb5 structure, as listed in the Alexandria database.

Lattice parameters (Å, degrees): 6.946 13.891 4.938 90.00 90.00 90.00
Element x y z (fractional)
Ca1 0.246 0.123 0.000
Ca2 0.254 0.623 0.000
Ca3 0.746 0.377 0.000
Ca4 0.754 0.877 0.000
Sn1 0.000 0.000 0.500
Sn2 0.500 0.500 0.500
Pb1 0.000 0.500 0.500
Pb2 0.001 0.751 0.500
Pb3 0.250 0.376 0.000
Pb4 0.250 0.876 0.000
Pb5 0.499 0.251 0.500
Pb6 0.500 0.000 0.500
Pb7 0.501 0.749 0.500
Pb8 0.750 0.124 0.000
Pb9 0.750 0.624 0.000
Pb10 0.999 0.249 0.500

ΔH_f (0 K), meV per atom: -327
D(E_F), states/eV/f.u.: 3.26